Record 1
Entry from the Alexandria database: a relaxed structure of RbLa (PBE-GGA).

Cell: 12.3210 12.3210 12.3210 Å, 90.00 90.00 90.00°
Positions (direct):
Rb 0.2132 0.2132 0.2132
Rb 0.2132 0.7868 0.7868
Rb 0.2868 0.2868 0.7132
Rb 0.2868 0.7132 0.2868
Rb 0.7132 0.2868 0.2868
Rb 0.7132 0.7132 0.7132
Rb 0.7868 0.2132 0.7868
Rb 0.7868 0.7868 0.2132
La 0.0890 0.0890 0.9110
La 0.0890 0.9110 0.0890
La 0.4110 0.4110 0.4110
La 0.4110 0.5890 0.5890
La 0.5890 0.4110 0.5890
La 0.5890 0.5890 0.4110
La 0.9110 0.0890 0.0890
La 0.9110 0.9110 0.9110

Values from the calculation:
M_tot: 0.000 μB per atom
Calculated formation energy: 0.817 eV/atom
Crystal system: cubic
Electronic total energy: -0.1566 Ry per atom

=====

Record 2
Entry from the Alexandria database: a relaxed structure of CdSb2Pt (PBE-GGA).

Cell: 6.5179 6.5179 11.6645 Å, 90.00 90.00 90.00°
Positions (direct):
Cd 0.0000 0.0000 0.0000
Cd 0.0000 0.5000 0.2500
Cd 0.5000 0.0000 0.7500
Cd 0.5000 0.5000 0.5000
Sb 0.2093 0.2500 0.6250
Sb 0.2500 0.7093 0.8750
Sb 0.2500 0.7907 0.3750
Sb 0.2907 0.2500 0.1250
Sb 0.7093 0.7500 0.1250
Sb 0.7500 0.2093 0.3750
Sb 0.7500 0.2907 0.8750
Sb 0.7907 0.7500 0.6250
Pt 0.0000 0.0000 0.5000
Pt 0.0000 0.5000 0.7500
Pt 0.5000 0.0000 0.2500
Pt 0.5000 0.5000 0.0000

Values from the calculation:
M_tot: 0.000 μB per atom
Crystal system: tetragonal
Electronic total energy: -0.2794 Ry per atom

=====

Record 3
Entry from the Alexandria database: a relaxed structure of Sr2ZnCu (PBE-GGA).

Cell: 4.5611 4.5522 6.4486 Å, 90.00 90.09 90.00°
Positions (direct):
Sr 0.0000 0.0000 0.0000
Sr 0.5000 0.5000 0.5000
Zn 0.0000 0.0000 0.5000
Cu 0.5000 0.5000 0.0000

Values from the calculation:
M_tot: 0.000 μB per atom
Calculated formation energy: 0.047 eV/atom
Crystal system: monoclinic
Electronic total energy: -0.1570 Ry per atom

=====

Record 4
Entry from the Alexandria database: a relaxed structure of MnCrTc (PBE-GGA).

Cell: 4.1641 4.1641 2.5502 Å, 90.00 90.00 120.00°
Positions (direct):
Mn 0.0000 0.0000 0.0000
Cr 0.6667 0.3333 0.6958
Tc 0.3333 0.6667 0.3904

Values from the calculation:
M_tot: 0.674 μB per atom
Calculated formation energy: 0.102 eV/atom
Crystal system: trigonal
Electronic total energy: -0.7069 Ry per atom

=====

Record 5
Entry from the Alexandria database: a relaxed structure of PPbSCl2 (PBE-GGA).

Cell: 5.0419 5.0419 5.0966 Å, 90.00 90.00 90.00°
Positions (direct):
P 0.0000 0.0000 0.0000
Pb 0.5000 0.5000 0.5000
S 0.0000 0.0000 0.5000
Cl 0.0000 0.5000 0.0000
Cl 0.5000 0.0000 0.0000

Values from the calculation:
M_tot: 0.000 μB per atom
Crystal system: tetragonal
Electronic total energy: -0.2571 Ry per atom

=====

Record 6
Entry from the Alexandria database: a relaxed structure of Ag4SbTe (PBE-GGA).

Cell: 4.5877 4.5877 7.0127 Å, 90.00 90.00 90.00°
Positions (direct):
Ag 0.0000 0.5000 0.2378
Ag 0.0000 0.5000 0.7622
Ag 0.5000 0.0000 0.2378
Ag 0.5000 0.0000 0.7622
Sb 0.0000 0.0000 0.0000
Te 0.5000 0.5000 0.5000

Values from the calculation:
M_tot: 0.000 μB per atom
Crystal system: tetragonal
Electronic total energy: -0.2261 Ry per atom

=====

Record 7
Entry from the Alexandria database: a relaxed structure of As2RuPb (PBE-GGA).

Cell: 3.1044 3.1044 8.4357 Å, 90.00 90.00 90.00°
Positions (direct):
As 0.0000 0.0000 0.1784
As 0.0000 0.0000 0.8216
Ru 0.5000 0.5000 0.0000
Pb 0.5000 0.5000 0.5000

Values from the calculation:
M_tot: 0.108 μB per atom
Calculated formation energy: 0.012 eV/atom
Crystal system: tetragonal
Electronic total energy: -0.4086 Ry per atom

=====

Record 8
Entry from the Alexandria database: a relaxed structure of CaPmAsO (PBE-GGA).

Cell: 4.5703 4.5703 8.4544 Å, 90.00 90.00 90.00°
Positions (direct):
Ca 0.2500 0.2500 0.1448
Ca 0.7500 0.7500 0.8552
Pm 0.2500 0.7500 0.5000
Pm 0.7500 0.2500 0.5000
As 0.2500 0.2500 0.7880
As 0.7500 0.7500 0.2120
O 0.2500 0.2500 0.4147
O 0.7500 0.7500 0.5853

Values from the calculation:
M_tot: 0.000 μB per atom
Crystal system: tetragonal
Electronic total energy: -0.4517 Ry per atom

=====

Record 9
Entry from the Alexandria database: a relaxed structure of AcIn2GePd4 (PBE-GGA).

Cell: 9.4758 9.4758 9.4758 Å, 28.00 28.00 28.00°
Positions (direct):
Ac 0.0000 0.0000 0.0000
In 0.2408 0.2408 0.2408
In 0.7592 0.7592 0.7592
Ge 0.5000 0.5000 0.5000
Pd 0.1371 0.1371 0.1371
Pd 0.4046 0.4046 0.4046
Pd 0.5954 0.5954 0.5954
Pd 0.8629 0.8629 0.8629

Values from the calculation:
M_tot: 0.000 μB per atom
Calculated formation energy: -0.559 eV/atom
Crystal system: trigonal
Electronic total energy: -0.3624 Ry per atom

=====

Record 10
Entry from the Alexandria database: a relaxed structure of NaGaP (PBE-GGA).

Cell: 4.0712 5.0615 14.4292 Å, 90.00 90.00 90.00°
Positions (direct):
Na 0.0000 0.0000 0.1668
Na 0.0000 0.0000 0.8332
Na 0.5000 0.5000 0.3332
Na 0.5000 0.5000 0.6668
Ga 0.0000 0.2620 0.5000
Ga 0.0000 0.7380 0.5000
Ga 0.5000 0.2380 0.0000
Ga 0.5000 0.7620 0.0000
P 0.0000 0.0000 0.3670
P 0.0000 0.0000 0.6330
P 0.5000 0.5000 0.1330
P 0.5000 0.5000 0.8670

Values from the calculation:
M_tot: 0.000 μB per atom
Calculated formation energy: -0.163 eV/atom
Crystal system: orthorhombic
Electronic total energy: -0.2510 Ry per atom

=====

Record 11
Entry from the Alexandria database: a relaxed structure of HoNbOs2 (PBE-GGA).

Cell: 3.2176 3.2176 6.9141 Å, 90.00 90.00 90.00°
Positions (direct):
Ho 0.0000 0.0000 0.0000
Nb 0.0000 0.0000 0.5000
Os 0.5000 0.5000 0.2784
Os 0.5000 0.5000 0.7216

Values from the calculation:
M_tot: 0.000 μB per atom
Calculated formation energy: -0.229 eV/atom
Crystal system: tetragonal
Electronic total energy: -0.6987 Ry per atom

=====

Record 12
Entry from the Alexandria database: a relaxed structure of CePaRh2 (PBE-GGA).

Cell: 6.9161 6.9161 6.9161 Å, 90.00 90.00 90.00°
Positions (direct):
Ce 0.0000 0.0000 0.0000
Ce 0.0000 0.5000 0.5000
Ce 0.5000 0.0000 0.5000
Ce 0.5000 0.5000 0.0000
Pa 0.0000 0.0000 0.5000
Pa 0.0000 0.5000 0.0000
Pa 0.5000 0.0000 0.0000
Pa 0.5000 0.5000 0.5000
Rh 0.2500 0.2500 0.2500
Rh 0.2500 0.2500 0.7500
Rh 0.2500 0.7500 0.2500
Rh 0.2500 0.7500 0.7500
Rh 0.7500 0.2500 0.2500
Rh 0.7500 0.2500 0.7500
Rh 0.7500 0.7500 0.2500
Rh 0.7500 0.7500 0.7500

Values from the calculation:
M_tot: 0.295 μB per atom
Calculated formation energy: -0.598 eV/atom
Crystal system: cubic
Electronic total energy: -0.5977 Ry per atom